The following is a GGA-PBE calculation of SmBe3Ir2 after structural relaxation, from the Alexandria database. Values from VASP.

Cell and atoms, written as Quantum ESPRESSO input:
```
&SYSTEM
  ibrav = 0, nat = 12, ntyp = 3
/
ATOMIC_SPECIES
Sm 150.36 Sm.upf
Be 9.01 Be.upf
Ir 192.22 Ir.upf
CELL_PARAMETERS angstrom
5.5739 0.0000 0.0000
0.0000 5.6338 0.2146
0.0000 -1.6568 5.3890
ATOMIC_POSITIONS crystal
Sm 0.2500 0.3290 0.3290
Sm 0.7500 0.6710 0.6710
Be 0.7500 0.4673 0.0964
Be 0.7500 0.0964 0.4673
Be 0.2500 0.5327 0.9036
Be 0.7500 0.0822 0.0822
Be 0.2500 0.9178 0.9178
Be 0.2500 0.9036 0.5327
Ir 0.5000 0.8022 0.1978
Ir 0.0000 0.8022 0.1978
Ir 0.0000 0.1978 0.8022
Ir 0.5000 0.1978 0.8022
```

## Properties
- Raw total energy: -74.42 eV/cell
- D(E_F): 5.462 states/eV/cell
- SG: No. 63
- ΔH_f (0 K): -0.598 eV per atom

***

The following is a GGA-PBE calculation of Sm3Be4Ir4 after structural relaxation, from the Alexandria database. Values from VASP.

Cell and atoms, written as Quantum ESPRESSO input:
```
&SYSTEM
  ibrav = 0, nat = 11, ntyp = 3
/
ATOMIC_SPECIES
Sm 150.36 Sm.upf
Be 9.01 Be.upf
Ir 192.22 Ir.upf
CELL_PARAMETERS angstrom
6.1947 0.0000 0.0000
-2.0649 5.8404 0.0000
-2.0649 -2.9202 5.0580
ATOMIC_POSITIONS crystal
Sm 0.5000 0.5000 0.0000
Sm 0.5000 0.0000 0.5000
Sm 0.0000 0.5000 0.5000
Be 0.0000 0.2222 0.0000
Be 0.0000 0.0000 0.2222
Be 0.2222 0.0000 0.0000
Be 0.7778 0.7778 0.7778
Ir 0.0000 0.5981 0.0000
Ir 0.5981 0.0000 0.0000
Ir 0.0000 0.0000 0.5981
Ir 0.4019 0.4019 0.4019
```

## Properties
- Raw total energy: -69.99 eV/cell
- D(E_F): 10.750 states/eV/cell
- SG: No. 217
- ΔH_f (0 K): -0.499 eV per atom

***

Q: The highest D(E_F) belongs to which entry?
A: Sm3Be4Ir4

***

Please write out number 1 again, unchanged.
The following is a GGA-PBE calculation of SmBe3Ir2 after structural relaxation, from the Alexandria database. Values from VASP.

Cell and atoms, written as Quantum ESPRESSO input:
```
&SYSTEM
  ibrav = 0, nat = 12, ntyp = 3
/
ATOMIC_SPECIES
Sm 150.36 Sm.upf
Be 9.01 Be.upf
Ir 192.22 Ir.upf
CELL_PARAMETERS angstrom
5.5739 0.0000 0.0000
0.0000 5.6338 0.2146
0.0000 -1.6568 5.3890
ATOMIC_POSITIONS crystal
Sm 0.2500 0.3290 0.3290
Sm 0.7500 0.6710 0.6710
Be 0.7500 0.4673 0.0964
Be 0.7500 0.0964 0.4673
Be 0.2500 0.5327 0.9036
Be 0.7500 0.0822 0.0822
Be 0.2500 0.9178 0.9178
Be 0.2500 0.9036 0.5327
Ir 0.5000 0.8022 0.1978
Ir 0.0000 0.8022 0.1978
Ir 0.0000 0.1978 0.8022
Ir 0.5000 0.1978 0.8022
```

## Properties
- Raw total energy: -74.42 eV/cell
- D(E_F): 5.462 states/eV/cell
- SG: No. 63
- ΔH_f (0 K): -0.598 eV per atom

***

Q: What is the D(E_F) in the second record?
A: 10.750 states/eV/cell